# 1
The following is a PBE calculation of a geometry-optimized InTcIr2 structure, from the Alexandria database.

## Properties
Total energy, eV/atom: -6.8258
Calculated formation energy, eV/atom: 0.881
Space group: I-42d (122)

a b c (Å): 7.102 7.102 7.102
angles (deg): 131.93 131.93 70.34
Sites, in units of the cell vectors:
In (0.000, 0.000, 0.000)
In (0.750, 0.250, 0.500)
Tc (0.250, 0.750, 0.500)
Tc (0.500, 0.500, 0.000)
Ir (0.166, 0.625, 0.041)
Ir (0.375, 0.416, 0.541)
Ir (0.584, 0.125, 0.959)
Ir (0.875, 0.834, 0.459)

***

# 2
The following is a PBE calculation of a geometry-optimized SrAcLa2 structure, from the Alexandria database.

## Properties
Total energy, eV/atom: -3.7367
Calculated formation energy, eV/atom: 0.175
Space group: Fm-3m (225)
Offset from the most stable computed form, meV/atom: 104

a b c (Å): 6.228 6.228 6.228
angles (deg): 60.00 60.00 60.00
Sites, in units of the cell vectors:
Sr (0.000, 0.000, 0.000)
Ac (0.500, 0.500, 0.500)
La (0.250, 0.250, 0.250)
La (0.750, 0.750, 0.750)

***

# 3
The following is a PBE calculation of a geometry-optimized LiAlHPd2 structure, from the Alexandria database.

## Properties
Total energy, eV/atom: -4.4620
Space group: P4/mmm (123)
Offset from the most stable computed form, meV/atom: 0

a b c (Å): 3.997 3.997 3.643
angles (deg): 90.00 90.00 90.00
Sites, in units of the cell vectors:
Li (0.000, 0.000, 0.000)
Al (0.500, 0.500, 0.000)
H (0.000, 0.000, 0.500)
Pd (0.000, 0.500, 0.500)
Pd (0.500, 0.000, 0.500)

***

# 4
The following is a PBE calculation of a geometry-optimized Cd4In3 structure, from the Alexandria database.

## Properties
Total energy, eV/atom: -1.6415
Calculated formation energy, eV/atom: 0.055
Space group: C2/m (12)
Offset from the most stable computed form, meV/atom: 0

a b c (Å): 5.036 5.036 8.607
angles (deg): 102.80 102.80 58.01
Sites, in units of the cell vectors:
Cd (0.074, 0.074, 0.232)
Cd (0.221, 0.221, 0.653)
Cd (0.779, 0.779, 0.347)
Cd (0.926, 0.926, 0.768)
In (0.360, 0.360, 0.085)
In (0.500, 0.500, 0.500)
In (0.640, 0.640, 0.915)

***

# 5
The following is a PBE calculation of a geometry-optimized Pr2GaCoN structure, from the Alexandria database.

## Properties
Total energy, eV/atom: -6.2728
Space group: P4/nmm (129)

a b c (Å): 3.956 3.956 12.460
angles (deg): 90.00 90.00 90.00
Sites, in units of the cell vectors:
Pr (0.250, 0.250, 0.094)
Pr (0.250, 0.250, 0.698)
Pr (0.750, 0.750, 0.302)
Pr (0.750, 0.750, 0.906)
Ga (0.250, 0.250, 0.394)
Ga (0.750, 0.750, 0.606)
Co (0.250, 0.750, 0.500)
Co (0.750, 0.250, 0.500)
N (0.250, 0.250, 0.904)
N (0.750, 0.750, 0.096)

***

# 6
The following is a PBE calculation of a geometry-optimized InHg2Sb structure, from the Alexandria database.

## Properties
Total energy, eV/atom: -1.7556
Space group: P4/mmm (123)

a b c (Å): 5.464 5.464 3.553
angles (deg): 90.00 90.00 90.00
Sites, in units of the cell vectors:
In (0.000, 0.000, 0.000)
Hg (0.000, 0.500, 0.500)
Hg (0.500, 0.000, 0.500)
Sb (0.500, 0.500, 0.000)

***

# 7
The following is a PBE calculation of a geometry-optimized BaIn2Mo structure, from the Alexandria database.

## Properties
Total energy, eV/atom: -4.1379
Calculated formation energy, eV/atom: 0.420
Space group: P4mm (99)
Offset from the most stable computed form, meV/atom: 185

a b c (Å): 3.795 3.795 8.068
angles (deg): 90.00 90.00 90.00
Sites, in units of the cell vectors:
Ba (0.000, 0.000, 0.000)
In (0.000, 0.000, 0.586)
In (0.500, 0.500, 0.337)
Mo (0.500, 0.500, 0.680)

***

# 8
The following is a PBE calculation of a geometry-optimized CsRbBa2Cu structure, from the Alexandria database.

## Properties
Total energy, eV/atom: -1.8081
Calculated formation energy, eV/atom: 0.144
Space group: P4/mmm (123)
Offset from the most stable computed form, meV/atom: 0

a b c (Å): 6.505 6.505 7.516
angles (deg): 90.00 90.00 90.00
Sites, in units of the cell vectors:
Cs (0.000, 0.000, 0.000)
Rb (0.500, 0.500, 0.000)
Ba (0.000, 0.500, 0.500)
Ba (0.500, 0.000, 0.500)
Cu (0.000, 0.000, 0.500)

***

# 9
The following is a PBE calculation of a geometry-optimized LiMg3H8Rh2 structure, from the Alexandria database.

## Properties
Total energy, eV/atom: -3.5881
Space group: P-3m1 (164)

a b c (Å): 4.891 4.891 6.465
angles (deg): 90.00 90.00 120.00
Sites, in units of the cell vectors:
Li (0.000, 0.000, 0.000)
Mg (0.000, 0.000, 0.500)
Mg (0.333, 0.667, 0.201)
Mg (0.667, 0.333, 0.799)
H (0.139, 0.278, 0.759)
H (0.139, 0.861, 0.759)
H (0.278, 0.139, 0.241)
H (0.333, 0.667, 0.517)
H (0.667, 0.333, 0.483)
H (0.722, 0.861, 0.759)
H (0.861, 0.139, 0.241)
H (0.861, 0.722, 0.241)
Rh (0.333, 0.667, 0.763)
Rh (0.667, 0.333, 0.237)

***

# 10
The following is a PBE calculation of a geometry-optimized TbMnTlCl6 structure, from the Alexandria database.

## Properties
Total energy, eV/atom: -4.3898
Space group: P-31c (163)

a b c (Å): 6.493 6.493 14.586
angles (deg): 90.00 90.00 120.00
Sites, in units of the cell vectors:
Tb (0.333, 0.667, 0.250)
Tb (0.667, 0.333, 0.750)
Mn (0.333, 0.667, 0.750)
Mn (0.667, 0.333, 0.250)
Tl (0.000, 0.000, 0.000)
Tl (0.000, 0.000, 0.500)
Cl (0.034, 0.381, 0.652)
Cl (0.034, 0.653, 0.848)
Cl (0.347, 0.381, 0.848)
Cl (0.347, 0.966, 0.652)
Cl (0.381, 0.034, 0.152)
Cl (0.381, 0.347, 0.348)
Cl (0.619, 0.653, 0.652)
Cl (0.619, 0.966, 0.848)
Cl (0.653, 0.034, 0.348)
Cl (0.653, 0.619, 0.152)
Cl (0.966, 0.347, 0.152)
Cl (0.966, 0.619, 0.348)

***

# 11
The following is a PBE calculation of a geometry-optimized TmZn3GaCu structure, from the Alexandria database.

## Properties
Total energy, eV/atom: -2.7000
Calculated formation energy, eV/atom: -0.131
Space group: Cmcm (63)

a b c (Å): 6.730 6.730 5.821
angles (deg): 90.00 90.00 127.02
Sites, in units of the cell vectors:
Tm (0.202, 0.798, 0.750)
Tm (0.798, 0.202, 0.250)
Zn (0.212, 0.212, 0.000)
Zn (0.212, 0.212, 0.500)
Zn (0.368, 0.632, 0.250)
Zn (0.632, 0.368, 0.750)
Zn (0.788, 0.788, 0.000)
Zn (0.788, 0.788, 0.500)
Ga (0.154, 0.846, 0.250)
Ga (0.846, 0.154, 0.750)
Cu (0.421, 0.579, 0.750)
Cu (0.579, 0.421, 0.250)

***

# 12
The following is a PBE calculation of a geometry-optimized ThInAgN structure, from the Alexandria database.

## Properties
Total energy, eV/atom: -6.1020
Space group: P4/nmm (129)

a b c (Å): 4.379 4.379 8.718
angles (deg): 90.00 90.00 90.00
Sites, in units of the cell vectors:
Th (0.250, 0.250, 0.117)
Th (0.750, 0.750, 0.883)
In (0.250, 0.750, 0.500)
In (0.750, 0.250, 0.500)
Ag (0.250, 0.250, 0.707)
Ag (0.750, 0.750, 0.293)
N (0.250, 0.750, 0.000)
N (0.750, 0.250, 0.000)

***

Number 11 is which compound?
TmZn3GaCu